Entry 1:
Ti2BeSnTe: relaxed, PBEsol.

The structure in CIF format:
```
data_Ti2BeSnTe
_chemical_formula_sum 'Ti2 Be1 Sn1 Te1'
_cell_length_a 4.724
_cell_length_b 4.724
_cell_length_c 4.203
_cell_angle_alpha 90.00
_cell_angle_beta 90.00
_cell_angle_gamma 90.00
_space_group_name_H-M_alt 'P 4/m m m'
_space_group_IT_number 123
_space_group_name_Hall '-P 4 2'
loop_
_atom_site_label
_atom_site_fract_x
_atom_site_fract_y
_atom_site_fract_z
_atom_site_occupancy
Ti1 0.000 0.500 0.000 1
Be1 0.000 0.000 0.000 1
Sn1 0.000 0.000 0.500 1
Te1 0.500 0.500 0.500 1
```

- Fermi-level density of states (states/eV/cell) = 5.06
- formation energy from raw total energies (kJ/mol of formula units) = 112
- raw total energy (Ry/atom) = -0.401
- magnetic moment (Bohr magnetons per cell) = 1.7

Entry 2:
LiBeRh3: relaxed, PBEsol.

The structure in CIF format:
```
data_LiBeRh3
_chemical_formula_sum 'Li1 Be1 Rh3'
_cell_length_a 3.987
_cell_length_b 3.987
_cell_length_c 3.987
_cell_angle_alpha 90.00
_cell_angle_beta 90.00
_cell_angle_gamma 90.00
_space_group_name_H-M_alt 'P m -3 m'
_space_group_IT_number 221
_space_group_name_Hall '-P 4 2 3'
loop_
_atom_site_label
_atom_site_fract_x
_atom_site_fract_y
_atom_site_fract_z
_atom_site_occupancy
Li1 0.000 0.000 0.000 1
Be1 0.500 0.500 0.500 1
Rh1 0.000 0.000 0.500 1
```

- Fermi-level density of states (states/eV/cell) = 3.40
- E_form (meV per atom) = 804
- raw total energy (Ry/atom) = -0.388
- magnetic moment (Bohr magnetons per cell) = 0.0

Entry 3:
Ti2Al2Au: relaxed, PBEsol.

The structure in CIF format:
```
data_Ti2Al2Au
_chemical_formula_sum 'Ti4 Al4 Au2'
_cell_length_a 6.410
_cell_length_b 6.410
_cell_length_c 3.964
_cell_angle_alpha 90.00
_cell_angle_beta 90.00
_cell_angle_gamma 90.00
_space_group_name_H-M_alt 'P 4/m b m'
_space_group_IT_number 127
_space_group_name_Hall '-P 4 2ab'
loop_
_atom_site_label
_atom_site_fract_x
_atom_site_fract_y
_atom_site_fract_z
_atom_site_occupancy
Ti1 0.159 0.341 0.000 1
Al1 0.139 0.639 0.500 1
Au1 0.000 0.000 0.500 1
```

- Fermi-level density of states (states/eV/cell) = 4.37
- E_form (meV per atom) = -411
- raw total energy (Ry/atom) = -0.453
- magnetic moment (Bohr magnetons per cell) = 0.0

Entry 4:
Be2MoRu: relaxed, PBEsol.

The structure in CIF format:
```
data_Be2MoRu
_chemical_formula_sum 'Be6 Mo3 Ru3'
_cell_length_a 2.6730
_cell_length_b 2.6730
_cell_length_c 23.7226
_cell_angle_alpha 90.00
_cell_angle_beta 90.00
_cell_angle_gamma 120.00
_space_group_name_H-M_alt 'R 3 m'
_space_group_IT_number 160
_space_group_name_Hall 'R 3 -2"'
loop_
_atom_site_label
_atom_site_fract_x
_atom_site_fract_y
_atom_site_fract_z
_atom_site_occupancy
Be1 0.0000 0.0000 0.0000 1
Be2 0.0000 0.0000 0.2560 1
Mo1 0.0000 0.0000 0.7541 1
Ru1 0.0000 0.0000 0.5109 1
```

- Fermi-level density of states (states/eV/cell) = 5.75
- E_form (meV per atom) = 242
- raw total energy (Ry/atom) = -0.532
- magnetic moment (Bohr magnetons per cell) = 0.0

Entry 5:
Zn2InIr: relaxed, PBEsol.

The structure in CIF format:
```
data_Zn2InIr
_chemical_formula_sum 'Zn4 In2 Ir2'
_cell_length_a 3.869
_cell_length_b 3.869
_cell_length_c 8.106
_cell_angle_alpha 90.00
_cell_angle_beta 90.00
_cell_angle_gamma 90.00
_space_group_name_H-M_alt 'I -4 m 2'
_space_group_IT_number 119
_space_group_name_Hall 'I -4 -2'
loop_
_atom_site_label
_atom_site_fract_x
_atom_site_fract_y
_atom_site_fract_z
_atom_site_occupancy
Zn1 0.000 0.000 0.000 1
Zn2 0.000 0.500 0.250 1
In1 0.000 0.500 0.750 1
Ir1 0.000 0.000 0.500 1
```

- Fermi-level density of states (states/eV/cell) = 2.44
- E_form (meV per atom) = -130
- raw total energy (Ry/atom) = -0.303
- magnetic moment (Bohr magnetons per cell) = 0.0

Entry 6:
SrRe2Pt: relaxed, PBEsol.

The structure in CIF format:
```
data_SrRe2Pt
_chemical_formula_sum 'Sr1 Re2 Pt1'
_cell_length_a 3.845
_cell_length_b 3.845
_cell_length_c 4.834
_cell_angle_alpha 90.00
_cell_angle_beta 90.00
_cell_angle_gamma 90.00
_space_group_name_H-M_alt 'P 4/m m m'
_space_group_IT_number 123
_space_group_name_Hall '-P 4 2'
loop_
_atom_site_label
_atom_site_fract_x
_atom_site_fract_y
_atom_site_fract_z
_atom_site_occupancy
Sr1 0.000 0.000 0.000 1
Re1 0.000 0.500 0.500 1
Pt1 0.500 0.500 0.000 1
```

- Fermi-level density of states (states/eV/cell) = 3.48
- E_form (meV per atom) = 874
- raw total energy (Ry/atom) = -0.587
- magnetic moment (Bohr magnetons per cell) = 0.0

Entry 7:
Li3V3B2O10: relaxed, PBEsol.

The structure in CIF format:
```
data_Li3V3B2O10
_chemical_formula_sum 'Li6 V6 B4 O20'
_cell_length_a 9.187
_cell_length_b 11.859
_cell_length_c 2.900
_cell_angle_alpha 90.00
_cell_angle_beta 90.00
_cell_angle_gamma 90.00
_space_group_name_H-M_alt 'P b a m'
_space_group_IT_number 55
_space_group_name_Hall '-P 2 2ab'
loop_
_atom_site_label
_atom_site_fract_x
_atom_site_fract_y
_atom_site_fract_z
_atom_site_occupancy
Li1 0.000 0.000 0.000 1
Li2 0.008 0.274 0.000 1
V1 0.000 0.500 0.500 1
V2 0.236 0.890 0.500 1
B1 0.237 0.141 0.500 1
O1 0.113 0.637 0.500 1
O2 0.119 0.855 0.000 1
O3 0.120 0.437 0.000 1
O4 0.156 0.043 0.500 1
O5 0.166 0.244 0.500 1
```

- Fermi-level density of states (states/eV/cell) = 14.63
- formation energy from raw total energies (kJ/mol of formula units) = -4080
- raw total energy (Ry/atom) = -0.586
- magnetic moment (Bohr magnetons per cell) = 6.4

Entry 8:
Pr3RuBr3: relaxed, PBEsol.

The structure in CIF format:
```
data_Pr3RuBr3
_chemical_formula_sum 'Pr6 Ru2 Br6'
_cell_length_a 8.856
_cell_length_b 4.151
_cell_length_c 11.980
_cell_angle_alpha 90.00
_cell_angle_beta 92.80
_cell_angle_gamma 90.00
_space_group_name_H-M_alt 'P 1 21/m 1'
_space_group_IT_number 11
_space_group_name_Hall '-P 2yb'
loop_
_atom_site_label
_atom_site_fract_x
_atom_site_fract_y
_atom_site_fract_z
_atom_site_occupancy
Pr1 0.109 0.250 0.383 1
Pr2 0.119 0.250 0.842 1
Pr3 0.321 0.750 0.620 1
Ru1 0.109 0.250 0.620 1
Br1 0.124 0.250 0.113 1
Br2 0.359 0.750 0.874 1
Br3 0.398 0.750 0.369 1
```

- Fermi-level density of states (states/eV/cell) = 2.44
- formation energy from raw total energies (kJ/mol of formula units) = -810
- raw total energy (Ry/atom) = -0.417
- magnetic moment (Bohr magnetons per cell) = 0.0

Entry 9:
YGa2Pt2: relaxed, PBEsol.

The structure in CIF format:
```
data_YGa2Pt2
_chemical_formula_sum 'Y2 Ga4 Pt4'
_cell_length_a 3.943
_cell_length_b 3.943
_cell_length_c 11.705
_cell_angle_alpha 90.00
_cell_angle_beta 90.00
_cell_angle_gamma 90.00
_space_group_name_H-M_alt 'I 4/m m m'
_space_group_IT_number 139
_space_group_name_Hall '-I 4 2'
loop_
_atom_site_label
_atom_site_fract_x
_atom_site_fract_y
_atom_site_fract_z
_atom_site_occupancy
Y1 0.000 0.000 0.000 1
Ga1 0.000 0.500 0.250 1
Pt1 0.000 0.000 0.387 1
```

- Fermi-level density of states (states/eV/cell) = 5.22
- E_form (meV per atom) = -923
- raw total energy (Ry/atom) = -0.471
- magnetic moment (Bohr magnetons per cell) = 0.0

Entry 10:
Zn3NiPd: relaxed, PBEsol.

The structure in CIF format:
```
data_Zn3NiPd
_chemical_formula_sum 'Zn3 Ni1 Pd1'
_cell_length_a 4.354
_cell_length_b 4.354
_cell_length_c 4.354
_cell_angle_alpha 90.00
_cell_angle_beta 90.00
_cell_angle_gamma 90.00
_space_group_name_H-M_alt 'P m -3 m'
_space_group_IT_number 221
_space_group_name_Hall '-P 4 2 3'
loop_
_atom_site_label
_atom_site_fract_x
_atom_site_fract_y
_atom_site_fract_z
_atom_site_occupancy
Zn1 0.000 0.000 0.500 1
Ni1 0.000 0.000 0.000 1
Pd1 0.500 0.500 0.500 1
```

- Fermi-level density of states (states/eV/cell) = 1.81
- E_form (meV per atom) = 344
- raw total energy (Ry/atom) = -0.223
- magnetic moment (Bohr magnetons per cell) = 0.0

Entry 11:
NaCa2I: relaxed, PBEsol.

The structure in CIF format:
```
data_NaCa2I
_chemical_formula_sum 'Na4 Ca8 I4'
_cell_length_a 9.120
_cell_length_b 9.120
_cell_length_c 7.570
_cell_angle_alpha 90.00
_cell_angle_beta 90.00
_cell_angle_gamma 90.00
_space_group_name_H-M_alt 'I -4 2 d'
_space_group_IT_number 122
_space_group_name_Hall 'I -4 2bw'
loop_
_atom_site_label
_atom_site_fract_x
_atom_site_fract_y
_atom_site_fract_z
_atom_site_occupancy
Na1 0.000 0.000 0.000 1
Ca1 0.219 0.750 0.625 1
I1 0.000 0.000 0.500 1
```

- Fermi-level density of states (states/eV/cell) = 11.25
- formation energy from raw total energies (kJ/mol of formula units) = -116
- raw total energy (Ry/atom) = -0.159
- magnetic moment (Bohr magnetons per cell) = 0.0

Entry 12:
Ba2CoNi: relaxed, PBEsol.

The structure in CIF format:
```
data_Ba2CoNi
_chemical_formula_sum 'Ba2 Co1 Ni1'
_cell_length_a 5.227
_cell_length_b 5.227
_cell_length_c 3.733
_cell_angle_alpha 90.00
_cell_angle_beta 90.00
_cell_angle_gamma 90.00
_space_group_name_H-M_alt 'P 4/m m m'
_space_group_IT_number 123
_space_group_name_Hall '-P 4 2'
loop_
_atom_site_label
_atom_site_fract_x
_atom_site_fract_y
_atom_site_fract_z
_atom_site_occupancy
Ba1 0.000 0.500 0.000 1
Co1 0.000 0.000 0.500 1
Ni1 0.500 0.500 0.500 1
```

- Fermi-level density of states (states/eV/cell) = 6.75
- E_form (meV per atom) = 579
- raw total energy (Ry/atom) = -0.292
- magnetic moment (Bohr magnetons per cell) = 1.2